Record 1
CeRuAu | PBE | optimized geometry

a b c (Å): 3.8323 3.8323 19.0747
angles (deg): 90.00 90.00 90.00
Space group I4/mmm (No. 139)
Symmetry-distinct sites (fractional):
1 Ce 0.0000 0.0000 0.1496
2 Ru 0.0000 0.0000 0.2727
3 Au 0.0000 0.0000 0.4303

Results
excess energy over the best structure of this formula in the dataset	0.000	eV/atom
calculated formation energy	-0.231	eV per atom



Record 2
Ce4RuAu2 | PBE | optimized geometry

a b c (Å): 7.0961 10.0497 5.1136
angles (deg): 90.00 90.00 90.00
Space group Cmmm (No. 65)
Symmetry-distinct sites (fractional):
1 Ce 0.2041 0.0000 0.0000
2 Ce 0.2500 0.2500 0.5000
3 Ru 0.0000 0.0000 0.5000
4 Au 0.0000 0.2856 0.0000

Results
excess energy over the best structure of this formula in the dataset	0.000	eV/atom
calculated formation energy	-0.352	eV per atom



Record 3
Ce6RuAu5 | PBE | optimized geometry

a b c (Å): 5.1071 7.2549 15.5714
angles (deg): 90.00 90.00 90.00
Space group Immm (No. 71)
Symmetry-distinct sites (fractional):
1 Ce 0.0000 0.2207 0.0000
2 Ce 0.0000 0.2663 0.3471
3 Ru 0.0000 0.5000 0.5000
4 Au 0.0000 0.0000 0.1918
5 Au 0.0000 0.0000 0.5000
6 Au 0.0000 0.5000 0.1697

Results
calculated formation energy	-0.552	eV per atom



Record 4
Ce3Ru2Au | PBE | optimized geometry

a b c (Å): 5.3218 15.0637 3.3113
angles (deg): 90.00 90.00 90.00
Space group Pmmn (No. 59, origin choice 2)
Symmetry-distinct sites (fractional):
1 Ce 0.2500 0.0709 0.1608
2 Ce 0.2500 0.7500 0.8828
3 Ru 0.2500 0.5939 0.5557
4 Au 0.2500 0.2500 0.6511

Results
calculated formation energy	-0.381	eV per atom



Record 5
Ce7Ru2Au2 | PBE | optimized geometry

a b c (Å): 7.2118 9.9336 8.0619
angles (deg): 90.00 95.99 90.00
Space group C2/m (No. 12)
Symmetry-distinct sites (fractional):
1 Ce 0.0000 0.0000 0.0000
2 Ce 0.1673 0.3079 0.1841
3 Ce 0.2395 0.5000 0.5864
4 Ru 0.1617 0.5000 0.8977
5 Au 0.0000 0.2305 0.5000

Results
calculated formation energy	-0.340	eV per atom



Record 6
Ce6RuAu2 | PBE | optimized geometry

a b c (Å): 3.6888 15.2354 8.1029
angles (deg): 90.00 90.00 90.00
Space group Amm2 (No. 38)
Symmetry-distinct sites (fractional):
1 Ce 0.0000 0.0000 0.0000
2 Ce 0.0000 0.1245 0.6278
3 Ce 0.5000 0.0000 0.2995
4 Ce 0.5000 0.1923 0.9629
5 Ru 0.5000 0.0000 0.6981
6 Au 0.0000 0.1715 0.2626

Results
calculated formation energy	-0.368	eV per atom



Q: Look up the calculated formation energy of the fifth one.
A: -0.340 eV per atom



Q: Which of these has the highest calculated formation energy?
A: CeRuAu



Q: Which of these has the lowest calculated formation energy?
A: Ce6RuAu5